(w)
Computed, not measured: a PBEsol-optimized structure of Na2SnBi2 at the SCAN level of DFT.

Computed properties:
The value obtained for the size of the total moment is 0.0 μB/f.u.

```
5
Lattice="-3.8653 1.7441 -1.3166 0.1690 -2.4287 -3.7134 -1.9470 -5.3759 6.0823" Properties=species:S:1:pos:R:3 pbc="T T T"
Na -1.8131 -4.0735 -0.0730
Na -3.8303 -1.9871 1.1253
Bi -2.5806 -1.4458 -1.8266
Bi -3.0628 -4.6148 2.8789
Sn 0.0000 0.0000 0.0000
```

(x)
Computed, not measured: a PBEsol-optimized structure of Na2SnBi2 at the SCAN level of DFT.

Computed properties:
The value obtained for the size of the total moment is 0.0 μB/f.u.

```
10
Lattice="-1.0220 -3.0964 -0.7391 0.1054 -2.1577 8.8938 -8.7137 2.6954 0.7572" Properties=species:S:1:pos:R:3 pbc="T T T"
Bi -1.4843 -0.9828 6.1701
Bi -5.8261 0.0565 7.8196
Bi -7.1240 1.5205 3.4809
Bi -2.7822 0.4812 1.8314
Sn 0.0000 0.0000 0.0000
Sn -4.3041 0.2688 4.8255
Na -1.5250 -2.0401 3.0932
Na -8.1053 -0.5186 5.8186
Na -3.7213 -2.4232 7.7356
Na -5.9090 -0.1355 1.1763
```

Which structure wins on stability? (x) wins.

(w)
Computed, not measured: a PBEsol-optimized structure of NaY3Bi at the SCAN level of DFT.

Computed properties:
The value obtained for the size of the total moment is 1.2 μB/f.u.

```
5
Lattice="-4.4268 2.9934 -0.6822 -3.0078 -3.9885 2.0166 0.6154 2.0380 4.9487" Properties=species:S:1:pos:R:3 pbc="T T T"
Y 0.3077 1.0190 2.4744
Y -2.2134 1.4967 -0.3411
Y -1.5039 -1.9943 1.0083
Na 0.0000 0.0000 0.0000
Bi -3.4096 0.5214 3.1416
```

(x)
Computed, not measured: a PBEsol-optimized structure of NaY3Bi at the SCAN level of DFT.

Computed properties:
The value obtained for the size of the total moment is 2.4 μB/f.u.

```
5
Lattice="-3.9438 2.4985 -3.5086 -1.3904 -5.2410 -2.1693 -4.0767 -0.6296 4.1341" Properties=species:S:1:pos:R:3 pbc="T T T"
Na -4.7055 -1.6860 -0.7719
Y -0.6952 -2.6205 -1.0847
Y -2.0384 -0.3148 2.0670
Y -1.9719 1.2493 -1.7543
Bi 0.0000 0.0000 0.0000
```

Which structure wins on stability? (x) wins.